# 1
Entry from the Open Quantum Materials Database: TmU after structural relaxation (GGA-PBE).

SG: Fm-3m (225)
E, eV/atom: -6.39
Calculated volume, A^3/atom: 29.7

Cell lengths 4.3787, 4.3787, 4.3787 Å; angles 60.00, 60.00, 60.00 degrees
Positions (direct):
Tm 0.0000 0.0000 0.0000
U 0.5000 0.5000 0.5000


# 2
Entry from the Open Quantum Materials Database: Pr2NdGdZn12Ge6 after structural relaxation (GGA-PBE).

SG: Pm (6)
E, eV/atom: -3.23
Calculated volume, A^3/atom: 18.9

Cell lengths 7.6552, 4.0996, 13.2619 Å; angles 90.00, 90.00, 90.00 degrees
Positions (direct):
Pr 0.0000 0.0000 0.0000
Pr 0.4999 0.0000 0.5001
Nd 0.0000 0.0000 0.3333
Gd 0.4999 0.0000 0.8334
Zn 0.0942 0.0000 0.5723
Zn 0.0948 0.0000 0.7611
Zn 0.2899 0.5000 0.6669
Zn 0.3111 0.0000 0.1667
Zn 0.3552 0.5000 0.0216
Zn 0.3549 0.5000 0.3116
Zn 0.5941 0.0000 0.0721
Zn 0.5944 0.0000 0.2611
Zn 0.7897 0.5000 0.1667
Zn 0.8109 0.0000 0.6669
Zn 0.8551 0.5000 0.5218
Zn 0.8546 0.5000 0.8116
Ge 0.1188 0.5000 0.1669
Ge 0.1902 0.5000 0.4761
Ge 0.1917 0.5000 0.8571
Ge 0.6184 0.5000 0.6673
Ge 0.6897 0.5000 0.9756
Ge 0.6907 0.5000 0.3572


# 3
Entry from the Open Quantum Materials Database: Ag15As after structural relaxation (GGA-PBE).

SG: Pmma (51)
E, eV/atom: -2.89
Calculated volume, A^3/atom: 23.1

Cell lengths 4.0716, 4.0790, 44.5191 Å; angles 90.00, 90.00, 90.00 degrees
Positions (direct):
Ag 0.2500 0.0000 0.0239
Ag 0.2500 0.0000 0.1194
Ag 0.2500 0.0000 0.2147
Ag 0.2500 0.0000 0.3103
Ag 0.2500 0.0000 0.6414
Ag 0.2500 0.0000 0.7381
Ag 0.2500 0.0000 0.8330
Ag 0.2500 0.0000 0.9284
Ag 0.2500 0.5000 0.0717
Ag 0.2500 0.5000 0.1673
Ag 0.2500 0.5000 0.2628
Ag 0.2500 0.5000 0.6897
Ag 0.2500 0.5000 0.7852
Ag 0.2500 0.5000 0.8805
Ag 0.2500 0.5000 0.9761
Ag 0.7500 0.0000 0.0716
Ag 0.7500 0.0000 0.1669
Ag 0.7500 0.0000 0.2619
Ag 0.7500 0.0000 0.3586
Ag 0.7500 0.0000 0.6897
Ag 0.7500 0.0000 0.7853
Ag 0.7500 0.0000 0.8806
Ag 0.7500 0.0000 0.9761
Ag 0.7500 0.5000 0.0239
Ag 0.7500 0.5000 0.1195
Ag 0.7500 0.5000 0.2148
Ag 0.7500 0.5000 0.3103
Ag 0.7500 0.5000 0.7372
Ag 0.7500 0.5000 0.8327
Ag 0.7500 0.5000 0.9283
As 0.2500 0.5000 0.3556
As 0.7500 0.5000 0.6444


# 4
Entry from the Open Quantum Materials Database: LiSiIr2 after structural relaxation (GGA-PBE).

SG: Pnma (62)
E, eV/atom: -6.79
Calculated volume, A^3/atom: 13.5

Cell lengths 5.4076, 7.5034, 5.3130 Å; angles 90.00, 90.00, 90.00 degrees
Positions (direct):
Li 0.0361 0.2500 0.0529
Li 0.4639 0.7500 0.5529
Li 0.5361 0.2500 0.4471
Li 0.9639 0.7500 0.9471
Si 0.0850 0.2500 0.5523
Si 0.4150 0.7500 0.0523
Si 0.5850 0.2500 0.9477
Si 0.9150 0.7500 0.4477
Ir 0.1818 0.5177 0.3170
Ir 0.1818 0.9823 0.3170
Ir 0.3182 0.0177 0.8170
Ir 0.3182 0.4823 0.8170
Ir 0.6818 0.5177 0.1830
Ir 0.6818 0.9823 0.1830
Ir 0.8182 0.0177 0.6830
Ir 0.8182 0.4823 0.6830


# 5
Entry from the Open Quantum Materials Database: TmTlPb after structural relaxation (GGA-PBE).

SG: F-43m (216)
E, eV/atom: -3.44
Calculated volume, A^3/atom: 31.8

Cell lengths 5.1307, 5.1307, 5.1307 Å; angles 60.00, 60.00, 60.00 degrees
Positions (direct):
Tm 0.0000 0.0000 0.0000
Tl 0.7500 0.7500 0.7500
Pb 0.5000 0.5000 0.5000


# 6
Entry from the Open Quantum Materials Database: TlAgSnSeS2 after structural relaxation (GGA-PBE).

SG: Cmcm (63)
E, eV/atom: -3.75
Calculated volume, A^3/atom: 25.8

Cell lengths 7.7083, 7.7083, 10.7726 Å; angles 90.00, 90.00, 151.11 degrees
Positions (direct):
Tl 0.2028 0.7972 0.7500
Tl 0.7972 0.2028 0.2500
Ag 0.1276 0.8724 0.2500
Ag 0.8724 0.1276 0.7500
Sn 0.5000 0.5000 0.0000
Sn 0.5000 0.5000 0.5000
Se 0.4505 0.5495 0.2500
Se 0.5495 0.4505 0.7500
S 0.1186 0.8814 0.0261
S 0.1186 0.8814 0.4739
S 0.8814 0.1186 0.5261
S 0.8814 0.1186 0.9739